Record 1
A geometry-optimized HfZr3Fe structure. Source: Alexandria, functional GGA-PBE.

```
HfZr3Fe
1.0
-3.273 -1.059 -4.281
5.382 -0.604 -3.964
-2.436 -5.377 3.192
Hf Zr Fe
2 6 2
Cartesian
0.322 -2.990 -4.789
-0.649 -4.050 -0.264
-1.009 -5.589 -3.130
2.036 -4.199 -2.278
0.682 -1.451 -1.924
-2.362 -2.841 -2.775
3.155 -1.728 -3.745
-3.482 -5.312 -1.308
0.000 0.000 0.000
-1.636 -0.530 -2.141
```

Output
formation enthalpy at 0 K: 0.15 eV/atom
magnetization: 0.000 μB/atom
Fermi-level density of states: 1.41 states/eV per atom
V: 214 Å³ per cell
excess energy over the best structure of this formula in the dataset: 133 meV per atom

---

Record 2
A geometry-optimized DyErThIn structure. Source: Alexandria, functional GGA-PBE.

```
DyErThIn
1.0
5.446 0.000 0.000
2.723 4.716 0.000
2.723 1.572 4.446
Dy In Th Er
1 1 1 1
Cartesian
5.446 3.144 2.223
2.723 1.572 1.112
8.169 4.716 3.335
0.000 0.000 0.000
```

Output
formation enthalpy at 0 K: -0.02 eV/atom
magnetization: 0.124 μB/atom
Fermi-level density of states: 2.05 states/eV per atom
V: 114 Å³ per cell

---

Record 3
A geometry-optimized YTcIr2 structure. Source: Alexandria, functional GGA-PBE.

```
YTcIr2
1.0
-2.441 -2.645 2.936
0.310 0.718 4.579
-3.596 1.811 2.316
Y Ir Tc
1 2 1
Cartesian
0.000 0.000 0.000
-1.432 -0.029 2.458
-4.296 -0.087 7.373
-2.864 -0.058 4.915
```

Output
formation enthalpy at 0 K: 0.06 eV/atom
magnetization: 0.952 μB/atom
Fermi-level density of states: 0.67 states/eV per atom
V: 71 Å³ per cell
excess energy over the best structure of this formula in the dataset: 296 meV per atom

---

Record 4
A geometry-optimized AlZnIn2S6 structure. Source: Alexandria, functional GGA-PBE.

```
AlZnIn2S6
1.0
6.244 0.332 0.344
2.410 9.758 -0.595
2.410 -0.956 9.730
Al Zn In S
2 2 4 12
Cartesian
3.971 7.798 1.460
7.093 1.335 8.019
3.971 1.330 7.693
7.093 7.804 1.786
4.793 7.467 5.608
3.148 3.640 1.637
6.270 1.667 3.871
7.915 5.493 7.842
2.497 -0.540 7.922
5.445 1.031 9.553
8.567 9.674 1.557
5.619 8.102 -0.074
5.296 8.240 3.252
2.646 6.023 0.951
5.768 0.893 6.227
8.418 3.110 8.527
3.110 5.651 5.542
4.832 3.638 3.454
7.954 3.482 3.936
6.232 5.495 6.025
```

Output
magnetization: 0.000 μB/atom
Fermi-level density of states: 0.15 states/eV per atom
V: 572 Å³ per cell
calculated total energy: -80.687 eV for the cell shown